TbPm5Tl8 | GGA-PBE | relaxed

a b c (Å): 9.4668 9.4668 9.3744
angles (deg): 90.00 90.00 90.00
Space group I-4 (No. 82)
Unique sites:
1 Tb 0.0000 0.0000 0.0000 [2 per cell]
2 Pm 0.0000 0.5000 0.2500 [2 per cell]
3 Pm 0.1217 0.2529 0.6236 [8 per cell]
4 Tl 0.0795 0.1670 0.2884 [8 per cell]
5 Tl 0.0842 0.3267 0.9594 [8 per cell]

The calculation puts the formation energy at -0.29 eV/atom. The theoretical density comes out at 9.958 g/cm³. Its total energy is -3.669 eV per atom.